No. 1
Compound: BeZn
Source: Alexandria via LeMat-Bulk
Functional: PBE
Structure: optimized geometry

**Size of the total moment**: 0.00 μB/atom
**SG**: No. 194
**ΔH_f (0 K)**: 0.16 eV per atom
**Fermi-level density of states**: 0.22 states/eV/atom

a b c (Å): 6.711 6.711 3.736
angles (deg): 90.00 90.00 120.00
Atoms (fractional coordinates):
Be1 0.442 0.883 0.250
Be2 0.558 0.442 0.750
Be3 0.117 0.558 0.250
Be4 0.558 0.117 0.750
Be5 0.442 0.558 0.250
Be6 0.883 0.442 0.750
Zn1 0.830 0.660 0.250
Zn2 0.170 0.830 0.750
Zn3 0.340 0.170 0.250
Zn4 0.170 0.340 0.750
Zn5 0.830 0.170 0.250
Zn6 0.660 0.830 0.750

No. 2
Compound: GdYCd2
Source: Alexandria via LeMat-Bulk
Functional: PBE
Structure: optimized geometry

**Size of the total moment**: 1.96 μB/atom
**SG**: No. 225
**ΔH_f (0 K)**: -0.35 eV per atom
**Energy above the most stable polymorph in this dataset**: 0 meV/atom
**Fermi-level density of states**: 1.01 states/eV/atom

a b c (Å): 5.318 5.318 5.318
angles (deg): 60.00 60.00 60.00
Each line ends with the local moment (μB).
Atoms (fractional coordinates):
Y1 0.500 0.500 0.500  0.15
Gd1 0.000 0.000 0.000  7.22
Cd1 0.250 0.250 0.250  0.01
Cd2 0.750 0.750 0.750  0.01